Record 1
Material: LaHo7Tl4
Method: DFT, PBE
State: optimized geometry

Results
- spin magnetization (μB per atom) = 0.0001
- formation energy (meV per atom) = -13

a = 5.7211 Å, b = 9.2571 Å, c = 7.8682 Å
α = 73.41°, β = 68.68°, γ = 72.00°
With the nearest neighbours (Å) after each atom.
Fractional positions:
Tl  0.6854  0.6673  0.9618  6 Ho 3.00-3.28, 1 Tl 3.23
Tl  0.5619  0.2477  0.6286  4 Ho 2.99-3.30, 1 Tl 3.23
Tl  0.3146  0.3327  0.0382  6 Ho 3.00-3.28, 1 Tl 3.23
Tl  0.4381  0.7523  0.3714  4 Ho 2.99-3.30, 1 Tl 3.23
Ho  0.0637  0.5998  0.2727  3 Tl 3.17-3.30, 3 Ho 3.42-3.49
Ho  0.7256  0.3358  0.2131  4 Tl 2.99-3.14
Ho  0.7914  0.8773  0.5400  4 Tl 3.28-3.45, 3 Ho 3.42-3.56
Ho  0.2744  0.6642  0.7869  4 Tl 2.99-3.14
Ho  0.9363  0.4002  0.7273  3 Tl 3.17-3.30, 3 Ho 3.42-3.49
Ho  0.5000  0.0000  0.0000  2 La 2.86, 4 Tl 3.00-3.14
Ho  0.2086  0.1227  0.4600  4 Tl 3.28-3.45, 3 Ho 3.42-3.56
La  0.0000  0.0000  0.0000  2 Ho 2.86


Record 2
Material: LaHo6Tl4
Method: DFT, PBE
State: optimized geometry

Results
- spin magnetization (μB per atom) = 0.2222
- formation energy (meV per atom) = -232

a = 3.7823 Å, b = 10.0767 Å, c = 10.0767 Å
α = 120.00°, β = 90.00°, γ = 90.00°
With the nearest neighbours (Å) after each atom.
Fractional positions:
Ho  0.5000  0.1924  0.8076  4 Tl 3.10-3.15
Ho  0.0000  0.5389  0.0778  5 Tl 3.26-3.59
Ho  0.5000  0.1924  0.3849  4 Tl 3.10-3.15
Ho  0.0000  0.5389  0.4611  5 Tl 3.26-3.59
Ho  0.0000  0.9222  0.4611  5 Tl 3.26-3.59
Ho  0.5000  0.6152  0.8076  4 Tl 3.10-3.15
La  0.0000  0.0000  0.0000  6 Tl 3.45, 2 La 3.78, 6 Ho 3.85
Tl  0.5000  0.8348  0.6697  6 Ho 3.15-3.26, 2 La 3.45
Tl  0.5000  0.8348  0.1652  6 Ho 3.15-3.26, 2 La 3.45
Tl  0.5000  0.3303  0.1652  6 Ho 3.15-3.26, 2 La 3.45
Tl  0.0000  0.3333  0.6667  6 Ho 3.10


Record 3
Material: LaHoTl
Method: DFT, PBE
State: optimized geometry

Results
- spin magnetization (μB per atom) = 0.0000
- formation energy (meV per atom) = -262

a = 5.5302 Å, b = 5.5302 Å, c = 6.8403 Å
α = 90.00°, β = 90.00°, γ = 119.98°
With the nearest neighbours (Å) after each atom.
Fractional positions:
La  0.0000  0.5000  0.5000  2 La 3.42, 6 Tl 3.62, 6 Ho 3.62
La  0.0000  0.5000  0.0000  2 La 3.42, 6 Tl 3.62, 6 Ho 3.62
Ho  0.3334  0.1666  0.2500  5 Tl 3.19-3.42
Ho  0.6666  0.8334  0.7500  5 Tl 3.19-3.42
Tl  0.3332  0.1668  0.7500  5 Ho 3.19-3.42
Tl  0.6668  0.8332  0.2500  5 Ho 3.19-3.42


Record 4
Material: La2Ho3Tl
Method: DFT, PBE
State: optimized geometry

Results
- spin magnetization (μB per atom) = 0.0000
- formation energy (meV per atom) = -45

a = 5.6819 Å, b = 3.8398 Å, c = 8.9828 Å
α = 102.34°, β = 90.00°, γ = 90.00°
With the nearest neighbours (Å) after each atom.
Fractional positions:
Tl  0.0000  0.0000  0.0000  4 La 3.42, 4 Ho 3.43
Ho  0.5000  0.8301  0.6602  4 Ho 3.40-3.55, 4 La 3.43
Ho  0.5000  0.1699  0.3398  4 Ho 3.40-3.55, 4 La 3.43
Ho  0.5000  0.5000  0.0000  4 Tl 3.43, 6 Ho 3.55-3.84
La  0.0000  0.6609  0.3219  2 Tl 3.42, 4 Ho 3.43, 2 La 3.67
La  0.0000  0.3391  0.6781  2 Tl 3.42, 4 Ho 3.43, 2 La 3.67


Record 5
Material: La4HoTl5
Method: DFT, PBE
State: optimized geometry

Results
- spin magnetization (μB per atom) = 0.0000
- formation energy (meV per atom) = -410

a = 3.8513 Å, b = 3.8513 Å, c = 20.6414 Å
α = 90.00°, β = 90.00°, γ = 90.00°
With the nearest neighbours (Å) after each atom.
Fractional positions:
Ho  0.0000  0.0000  0.0000  8 Tl 3.27
Tl  0.5000  0.5000  0.2934  8 La 3.44-3.46, 4 Tl 3.85
Tl  0.5000  0.5000  0.7066  8 La 3.44-3.46, 4 Tl 3.85
Tl  0.5000  0.5000  0.0875  4 Ho 3.27, 4 La 3.46, 1 Tl 3.61
Tl  0.5000  0.5000  0.9125  4 Ho 3.27, 4 La 3.46, 1 Tl 3.61
Tl  0.5000  0.5000  0.5000  8 La 3.45, 4 Tl 3.85
La  0.0000  0.0000  0.8088  8 Tl 3.44-3.46, 4 La 3.85
La  0.0000  0.0000  0.6030  8 Tl 3.45-3.46, 4 La 3.85
La  0.0000  0.0000  0.1912  8 Tl 3.44-3.46, 4 La 3.85
La  0.0000  0.0000  0.3970  8 Tl 3.45-3.46, 4 La 3.85


Record 6
Material: LaHoTl2
Method: DFT, PBE
State: optimized geometry

Results
- spin magnetization (μB per atom) = 0.0000
- formation energy (meV per atom) = -372

a = 5.4968 Å, b = 5.4968 Å, c = 5.4968 Å
α = 59.99°, β = 59.99°, γ = 59.99°
With the nearest neighbours (Å) after each atom.
Fractional positions:
Ho  0.2500  0.2500  0.2500  8 Tl 3.37
Tl  0.5000  0.5000  0.5000  4 Ho 3.37, 4 La 3.37
Tl  0.0000  0.0000  0.0000  4 Ho 3.37, 4 La 3.37
La  0.7500  0.7500  0.7500  8 Tl 3.37


Record 7
Material: La7HoTl4
Method: DFT, PBE
State: optimized geometry

Results
- spin magnetization (μB per atom) = 0.0000
- formation energy (meV per atom) = -113

a = 6.0169 Å, b = 9.7080 Å, c = 8.0646 Å
α = 75.78°, β = 68.10°, γ = 71.95°
With the nearest neighbours (Å) after each atom.
Fractional positions:
Ho  0.0000  0.0000  0.0000  2 La 3.01
La  0.2011  0.1161  0.4817  3 La 3.32-3.68, 4 Tl 3.50-3.59
La  0.5000  0.0000  0.0000  2 Ho 3.01, 4 Tl 3.14-3.28
La  0.0588  0.6192  0.2632  3 Tl 3.31-3.38, 2 La 3.32-3.55
La  0.2800  0.6553  0.7847  4 Tl 3.14-3.29
La  0.9412  0.3808  0.7368  3 Tl 3.31-3.38, 2 La 3.32-3.55
La  0.7989  0.8839  0.5183  3 La 3.32-3.68, 4 Tl 3.50-3.59
La  0.7200  0.3447  0.2153  4 Tl 3.14-3.29
Tl  0.6876  0.6664  0.9584  5 La 3.14-3.31, 1 Tl 3.25
Tl  0.3124  0.3336  0.0416  5 La 3.14-3.31, 1 Tl 3.25
Tl  0.4411  0.7536  0.3642  6 La 3.14-3.50, 1 Tl 3.25
Tl  0.5589  0.2464  0.6358  6 La 3.14-3.50, 1 Tl 3.25


Record 8
Material: LaHo2Tl3
Method: DFT, PBE
State: optimized geometry

Results
- spin magnetization (μB per atom) = 0.0001
- formation energy (meV per atom) = -367

a = 3.7961 Å, b = 3.7961 Å, c = 11.8300 Å
α = 90.00°, β = 90.00°, γ = 90.00°
With the nearest neighbours (Å) after each atom.
Fractional positions:
Tl  0.0000  0.0000  0.6836  4 Ho 3.27, 4 La 3.45
Tl  0.0000  0.0000  0.0000  8 Ho 3.28
Tl  0.0000  0.0000  0.3164  4 Ho 3.27, 4 La 3.45
Ho  0.5000  0.5000  0.8407  8 Tl 3.27-3.28
Ho  0.5000  0.5000  0.1593  8 Tl 3.27-3.28
La  0.5000  0.5000  0.5000  8 Tl 3.45, 4 La 3.80


Among the records above, which one has the highest spin magnetization?
LaHo6Tl4